Entry 1:
Below is V2Zn2Ru3 after structural relaxation, with properties calculated at the PBE level. Values from VASP.

Calculated values
spin magnetization = 0.000 μB/atom
space group = P-1, No. 2
DFT formation energy = -0.169 eV/atom

```
&SYSTEM
  ibrav = 0, nat = 7, ntyp = 3
/
ATOMIC_SPECIES
V 50.94 V.upf
Zn 65.41 Zn.upf
Ru 101.07 Ru.upf
CELL_PARAMETERS angstrom
4.211 0.000 0.000
-2.103 3.669 0.000
-0.014 -2.399 6.287
ATOMIC_POSITIONS crystal
V 0.215 0.429 0.147
V 0.785 0.571 0.853
Zn 0.358 0.717 0.573
Zn 0.642 0.283 0.427
Ru 0.082 0.166 0.744
Ru 0.500 0.000 0.000
Ru 0.918 0.834 0.256
```

Entry 2:
Below is V5ZnRu6 after structural relaxation, with properties calculated at the PBE level. Values from VASP.

Calculated values
spin magnetization = 0.017 μB/atom
space group = Immm, No. 71
DFT formation energy = -0.279 eV/atom

```
&SYSTEM
  ibrav = 0, nat = 12, ntyp = 3
/
ATOMIC_SPECIES
V 50.94 V.upf
Zn 65.41 Zn.upf
Ru 101.07 Ru.upf
CELL_PARAMETERS angstrom
-2.128 3.003 6.385
2.128 -3.003 6.385
2.128 3.003 -6.385
ATOMIC_POSITIONS crystal
V 0.000 0.000 0.000
V 0.165 0.665 0.500
V 0.334 0.334 0.000
V 0.666 0.666 0.000
V 0.835 0.335 0.500
Zn 0.500 0.000 0.500
Ru 0.080 0.831 0.249
Ru 0.247 0.500 0.747
Ru 0.418 0.169 0.249
Ru 0.582 0.831 0.751
Ru 0.753 0.500 0.253
Ru 0.920 0.169 0.751
```

Q: Among the records above, which one has the lowest DFT formation energy?
A: V5ZnRu6